Record 1
The following is a PBE-GGA calculation of a geometry-optimized NpReW structure, from Alexandria via LeMat-Bulk.

* formation enthalpy at 0 K: 0.327 eV/atom
* E: -12.4532 eV/atom
* magnetization: 2.75 Bohr magnetons per cell

abc: 3.068 3.068 6.191
angles: 104.35 104.35 90.00
Each line ends with the local moment (μB).
Sites, in units of the cell vectors:
Np  0.998  0.998  0.995  2.94
Re  0.315  0.315  0.631  -0.17
W  0.687  0.687  0.374  -0.12


Record 2
The following is a PBE-GGA calculation of a geometry-optimized NpReW structure, from Alexandria via LeMat-Bulk.

* formation enthalpy at 0 K: 0.805 eV/atom
* E: -11.9752 eV/atom
* magnetization: 5.82 Bohr magnetons per cell

abc: 6.796 6.796 6.796
angles: 60.00 60.00 60.00
Each line ends with the local moment (μB).
Sites, in units of the cell vectors:
W  0.347  0.884  0.884  -0.05
W  0.884  0.884  0.884  -0.05
W  0.884  0.347  0.884  -0.05
W  0.884  0.884  0.347  -0.05
Np  0.595  0.215  0.595  1.55
Np  0.215  0.595  0.595  1.55
Np  0.595  0.595  0.215  1.55
Np  0.595  0.595  0.595  1.55
Re  0.548  0.151  0.151  -0.03
Re  0.151  0.548  0.151  -0.03
Re  0.151  0.151  0.151  -0.03
Re  0.151  0.151  0.548  -0.03


Record 3
The following is a PBE-GGA calculation of a geometry-optimized YNpRe4 structure, from Alexandria via LeMat-Bulk.

* formation enthalpy at 0 K: 0.042 eV/atom
* E: -11.4905 eV/atom
* magnetization: 4.74 Bohr magnetons per cell

abc: 5.418 5.418 5.418
angles: 60.00 60.00 60.00
Each line ends with the local moment (μB).
Sites, in units of the cell vectors:
Np  0.250  0.250  0.250  3.60
Re  0.625  0.625  0.124  0.14
Re  0.625  0.124  0.625  0.14
Re  0.625  0.625  0.625  0.14
Re  0.124  0.625  0.625  0.14
Y  0.000  0.000  0.000  0.06


Record 4
The following is a PBE-GGA calculation of a geometry-optimized NpZnRe structure, from Alexandria via LeMat-Bulk.

* formation enthalpy at 0 K: 0.259 eV/atom
* E: -8.6286 eV/atom
* magnetization: 4.60 Bohr magnetons per cell

abc: 4.649 4.357 5.645
angles: 90.00 114.31 90.00
Each line ends with the local moment (μB).
Sites, in units of the cell vectors:
Zn  0.392  0.750  0.783  -0.01
Zn  0.608  0.250  0.217  -0.01
Re  0.769  0.750  0.538  -0.29
Re  0.231  0.250  0.462  -0.29
Np  0.927  0.250  0.855  2.58
Np  0.073  0.750  0.145  2.58


Record 5
The following is a PBE-GGA calculation of a geometry-optimized NpZnRe structure, from Alexandria via LeMat-Bulk.

* formation enthalpy at 0 K: 0.349 eV/atom
* E: -8.5386 eV/atom
* magnetization: 2.60 Bohr magnetons per cell

abc: 3.144 3.144 6.019
angles: 105.14 105.14 90.00
Each line ends with the local moment (μB).
Sites, in units of the cell vectors:
Np  0.314  0.314  0.628  3.00
Re  0.662  0.662  0.323  -0.54
Zn  0.024  0.024  0.048  0.00


Record 6
The following is a PBE-GGA calculation of a geometry-optimized Zr2NpRe structure, from Alexandria via LeMat-Bulk.

* formation enthalpy at 0 K: 0.283 eV/atom
* E: -10.3382 eV/atom
* magnetization: 3.72 Bohr magnetons per cell

abc: 3.333 4.896 4.896
angles: 90.00 90.00 90.00
Each line ends with the local moment (μB).
Sites, in units of the cell vectors:
Np  0.500  0.500  0.500  3.54
Re  0.500  0.000  0.000  -0.29
Zr  0.000  0.000  0.500  0.12
Zr  0.000  0.500  0.000  0.12


Record 7
The following is a PBE-GGA calculation of a geometry-optimized NpRh4 structure, from Alexandria via LeMat-Bulk.

* formation enthalpy at 0 K: 1.085 eV/atom
* E: -7.3844 eV/atom
* magnetization: 0.60 Bohr magnetons per cell

abc: 4.737 4.737 4.737
angles: 90.00 90.00 90.00
Each line ends with the local moment (μB).
Sites, in units of the cell vectors:
Np  0.500  0.500  0.500  1.91
Rh  0.000  0.000  0.000  -0.87
Rh  0.500  0.000  0.500  -0.18
Rh  0.000  0.500  0.500  -0.18
Rh  0.500  0.500  0.000  -0.18


Record 8
The following is a PBE-GGA calculation of a geometry-optimized Np2Rh structure, from Alexandria via LeMat-Bulk.

* formation enthalpy at 0 K: -0.122 eV/atom
* E: -11.1996 eV/atom
* magnetization: 0.00 Bohr magnetons per cell

abc: 3.260 3.260 5.454
angles: 107.39 107.39 90.00
Sites, in units of the cell vectors:
Np  0.692  0.692  0.383
Np  0.308  0.308  0.617
Rh  0.000  0.000  0.000


Record 9
The following is a PBE-GGA calculation of a geometry-optimized NpRh4 structure, from Alexandria via LeMat-Bulk.

* formation enthalpy at 0 K: -0.266 eV/atom
* E: -8.7354 eV/atom
* magnetization: 2.56 Bohr magnetons per cell

abc: 4.168 5.557 7.745
angles: 111.02 105.61 90.00
Each line ends with the local moment (μB).
Sites, in units of the cell vectors:
Np  0.893  0.143  0.785  2.39
Np  0.107  0.857  0.215  2.39
Rh  0.105  0.355  0.209  -0.30
Rh  0.895  0.645  0.791  -0.30
Rh  0.500  0.000  0.000  -0.30
Rh  0.500  0.500  0.000  -0.30
Rh  0.694  0.200  0.388  -0.28
Rh  0.306  0.800  0.612  -0.28
Rh  0.306  0.312  0.612  -0.28
Rh  0.694  0.688  0.388  -0.28


Record 10
The following is a PBE-GGA calculation of a geometry-optimized NpRuRh2 structure, from Alexandria via LeMat-Bulk.

* formation enthalpy at 0 K: -0.018 eV/atom
* E: -9.2474 eV/atom
* magnetization: 1.10 Bohr magnetons per cell

abc: 4.514 4.514 4.605
angles: 60.65 60.65 60.00
Each line ends with the local moment (μB).
Sites, in units of the cell vectors:
Np  0.500  0.500  0.500  3.04
Ru  0.000  0.000  0.000  -1.16
Rh  0.759  0.759  0.724  -0.45
Rh  0.241  0.241  0.276  -0.45


Record 11
The following is a PBE-GGA calculation of a geometry-optimized NpRuRh structure, from Alexandria via LeMat-Bulk.

* formation enthalpy at 0 K: -0.165 eV/atom
* E: -10.0208 eV/atom
* magnetization: 4.51 Bohr magnetons per cell

abc: 3.992 4.926 5.843
angles: 100.35 90.00 113.90
Each line ends with the local moment (μB).
Sites, in units of the cell vectors:
Np  0.771  0.541  0.897  2.98
Np  0.064  0.128  0.497  2.89
Ru  0.741  0.483  0.388  -0.53
Ru  0.418  0.835  0.700  -0.55
Rh  0.416  0.833  0.201  -0.29
Rh  0.094  0.187  0.017  -0.26


Record 12
The following is a PBE-GGA calculation of a geometry-optimized Np4RuRh12 structure, from Alexandria via LeMat-Bulk.

* formation enthalpy at 0 K: -0.209 eV/atom
* E: -8.9890 eV/atom
* magnetization: 8.15 Bohr magnetons per cell

abc: 7.202 7.202 7.202
angles: 109.47 109.47 109.47
Each line ends with the local moment (μB).
Sites, in units of the cell vectors:
Np  0.000  0.000  0.500  3.07
Np  0.500  0.000  0.000  3.07
Np  0.500  0.500  0.500  3.07
Np  0.000  0.500  0.000  3.07
Ru  0.000  0.000  0.000  0.10
Rh  0.000  0.296  0.296  -0.34
Rh  0.000  0.704  0.704  -0.34
Rh  0.704  0.704  0.000  -0.34
Rh  0.296  0.296  0.000  -0.34
Rh  0.296  0.000  0.296  -0.34
Rh  0.704  0.000  0.704  -0.34
Rh  0.500  0.250  0.750  -0.43
Rh  0.500  0.750  0.250  -0.43
Rh  0.750  0.250  0.500  -0.43
Rh  0.250  0.750  0.500  -0.43
Rh  0.750  0.500  0.250  -0.43
Rh  0.250  0.500  0.750  -0.43